Material: CsInCoO3
Method: DFT, PBE with a Hubbard U
State: relaxed

a = 7.2932 Å, b = 3.4585 Å, c = 9.5557 Å
α = 90.00°, β = 111.74°, γ = 90.00°
Space group P2_1/m (No. 11)
One atom of each set of equivalent atoms:
Cs1 0.1743 0.2500 0.2075 [2 per cell]
In1 0.3733 0.2500 0.8517 [2 per cell]
Co1 0.1435 0.7500 0.5761 [2 per cell]
O1 0.0499 0.2500 0.6402 [2 per cell]
O2 0.3163 0.7500 0.9821 [2 per cell]
O3 0.4090 0.7500 0.7164 [2 per cell]

Results
* final energy: -62.37 eV for the cell shown
* total magnetization: 0.50 μB per atom